DFT (GGA-PBE) results for a relaxed structure of Zn2BRu.

Cell lengths 10.0948, 10.0948, 10.0948 Å; angles 161.45, 161.45, 26.35 degrees
Positions (direct):
Zn (0.1241, 0.6250, 0.9991)
Zn (0.3750, 0.3741, 0.4991)
Zn (0.6259, 0.1250, 0.0009)
Zn (0.8750, 0.8759, 0.5009)
B (0.2500, 0.7500, 0.5000)
B (0.5000, 0.5000, 0.0000)
Ru (0.0000, 0.0000, 0.0000)
Ru (0.7500, 0.2500, 0.5000)

Output
The calculation puts the raw total energy at -32.8 eV per cell. For the density of states at the Fermi level, the calculation gives 3.4 states/eV/cell. The symmetry is I-42d.

***

DFT (GGA-PBE) results for a relaxed structure of ZnB2Ru2.

Cell lengths 6.0708, 6.0708, 2.8437 Å; angles 90.00, 90.00, 90.00 degrees
Positions (direct):
Zn (0.0000, 0.0000, 0.0000)
Zn (0.5000, 0.5000, 0.0000)
B (0.1240, 0.3760, 0.0000)
B (0.3760, 0.8760, 0.0000)
B (0.6240, 0.1240, 0.0000)
B (0.8760, 0.6240, 0.0000)
Ru (0.1607, 0.6607, 0.5000)
Ru (0.3393, 0.1607, 0.5000)
Ru (0.6607, 0.8393, 0.5000)
Ru (0.8393, 0.3393, 0.5000)

Output
The calculation puts the raw total energy at -67.9 eV per cell. For the density of states at the Fermi level, the calculation gives 5.0 states/eV/cell. The symmetry is P4/mbm.

***

DFT (GGA-PBE) results for a relaxed structure of Zn2BRu2.

Cell lengths 7.2571, 7.2571, 7.2571 Å; angles 155.21, 155.21, 35.35 degrees
Positions (direct):
Zn (0.2500, 0.7500, 0.5000)
Zn (0.7500, 0.2500, 0.5000)
B (0.0000, 0.0000, 0.0000)
Ru (0.4128, 0.4128, 0.0000)
Ru (0.5872, 0.5872, 0.0000)

Output
The calculation puts the raw total energy at -24.3 eV per cell. For the density of states at the Fermi level, the calculation gives 4.8 states/eV/cell. The symmetry is I4/mmm.

***

Sequential DFT formation energy output: 2.107 -0.782 3.506 eV/f.u.